Entry 1:
An optimized crystal structure of KY2Al2, computed with GGA-PBE.

## Properties
- Calculated total energy: -4.3513 eV per atom
- Energy relative to the lowest polymorph listed for this composition: 0 meV/atom
- Volume: 28.40 A^3/atom
- DFT formation energy: -0.246 eV per formula unit

The structure in POSCAR format:
```
KY2Al2
1.0
9.3061 0.0000 0.0000
0.0000 9.3061 0.0000
0.0000 0.0000 3.2795
K Y Al
2 4 4
direct
0.0000 0.0000 0.0000
0.5000 0.5000 0.0000
0.1274 0.3726 0.0000
0.3726 0.8726 0.0000
0.6274 0.1274 0.0000
0.8726 0.6274 0.0000
0.1692 0.6692 0.5000
0.3308 0.1692 0.5000
0.6692 0.8308 0.5000
0.8308 0.3308 0.5000
```

Entry 2:
An optimized crystal structure of K2YAl, computed with GGA-PBE.

## Properties
- Calculated total energy: -2.5480 eV per atom
- Volume: 37.55 A^3/atom
- DFT formation energy: 2.209 eV per formula unit

The structure in POSCAR format:
```
K2YAl
1.0
3.4138 0.0000 0.0000
0.0000 3.4138 0.0000
0.0000 0.0000 12.8890
K Y Al
2 1 1
direct
0.0000 0.0000 0.2192
0.0000 0.0000 0.7808
0.5000 0.5000 0.5000
0.5000 0.5000 0.0000
```

Entry 3:
An optimized crystal structure of KYAl3, computed with GGA-PBE.

## Properties
- Calculated total energy: -3.0443 eV per atom
- Energy relative to the lowest polymorph listed for this composition: 0 meV/atom
- Volume: 37.58 A^3/atom
- DFT formation energy: 3.568 eV per formula unit

The structure in POSCAR format:
```
KYAl3
1.0
5.7277 0.0000 0.0000
0.0000 5.7277 0.0000
0.0000 0.0000 5.7277
K Y Al
1 1 3
direct
0.0000 0.0000 0.0000
0.5000 0.5000 0.5000
0.0000 0.5000 0.5000
0.5000 0.0000 0.5000
0.5000 0.5000 0.0000
```

Entry 4:
An optimized crystal structure of KY4Al, computed with GGA-PBE.

## Properties
- Calculated total energy: -4.6101 eV per atom
- Volume: 33.62 A^3/atom
- DFT formation energy: 3.036 eV per formula unit

The structure in POSCAR format:
```
KY4Al
1.0
0.0000 4.6549 4.6549
4.6549 0.0000 4.6549
4.6549 4.6549 0.0000
K Y Al
1 4 1
direct
0.0000 0.0000 0.0000
0.1309 0.6230 0.6230
0.6230 0.1309 0.6230
0.6230 0.6230 0.1309
0.6230 0.6230 0.6230
0.2500 0.2500 0.2500
```